This record from Alexandria describes crystalline HgTe2 at its relaxed geometry. The functional is PBE.

Summary:
Space group = No. 140
Polymorph energy (0 for the lowest one) = 0.0532 eV per atom
Magnetization = 0.0 Bohr magnetons per cell

Geometry as POSCAR:
```
HgTe2
1.0
-3.3395 3.3395 4.1426
3.3395 -3.3395 4.1426
3.3395 3.3395 -4.1426
Hg Te
2 4
Cartesian
0.0000 0.0000 6.2138
0.0000 0.0000 2.0713
4.3136 0.9741 0.0000
0.9741 2.3654 0.0000
2.3654 0.9741 4.1426
-0.9741 2.3654 4.1426
```